{
  "formula": "Ce2ScSe2O2",
  "functional": "PBE",
  "state": "relaxed",
  "dft_energy_ev_per_cell": -105.312,
  "magnetic_moment_mub_per_fu": 2.9,
  "crystal_system": "tetragonal",
  "lattice": [[4.175, 0.000, 0.000], [0.000, 4.175, 0.000], [0.000, 0.000, 15.308]],
  "species": ["Ce", "Ce", "Ce", "Ce", "Sc", "Sc", "Se", "Se", "Se", "Se", "O", "O", "O", "O"],
  "fractional_positions": [[0.000, 0.000, 0.117], [0.000, 0.000, 0.883], [0.500, 0.500, 0.383], [0.500, 0.500, 0.617], [0.000, 0.000, 0.500], [0.500, 0.500, 0.000], [0.000, 0.000, 0.322], [0.000, 0.000, 0.678], [0.500, 0.500, 0.178], [0.500, 0.500, 0.822], [0.000, 0.500, 0.000], [0.000, 0.500, 0.500], [0.500, 0.000, 0.000], [0.500, 0.000, 0.500]]
}